(1)
Here is a relaxed Hf2In5 crystal from the Alexandria database. Energies are from GGA-PBEsol.

a = 10.192 Å, b = 10.192 Å, c = 3.028 Å
α = 90.00°, β = 90.00°, γ = 90.00°
Space group P4/mbm (No. 127)
Unique sites:
Hf (0.180, 0.320, 0.000) (multiplicity 4)
In (0.000, 0.500, 0.500) (multiplicity 2)
In (0.061, 0.792, 0.500) (multiplicity 8)

**Fermi-level density of states**: 0.5146 states/eV per atom
**E_form**: -138 kJ/mol of formula units

***

(2)
Here is a relaxed Tl3In crystal from the Alexandria database. Energies are from GGA-PBEsol.

a = 6.072 Å, b = 6.072 Å, c = 6.072 Å
α = 90.00°, β = 90.00°, γ = 90.00°
Space group Pm-3n (No. 223)
Unique sites:
Tl (0.000, 0.250, 0.500) (multiplicity 6)
In (0.000, 0.000, 0.000) (multiplicity 2)

**Fermi-level density of states**: 0.5089 states/eV per atom
**E_form**: 16 kJ/mol of formula units

***

(3)
Here is a relaxed PRuPtCl2 crystal from the Alexandria database. Energies are from GGA-PBEsol.

a = 4.762 Å, b = 4.762 Å, c = 4.604 Å
α = 90.00°, β = 90.00°, γ = 90.00°
Space group P4/mmm (No. 123)
Unique sites:
P (0.000, 0.000, 0.000) (multiplicity 1)
Ru (0.500, 0.500, 0.000) (multiplicity 1)
Pt (0.000, 0.000, 0.500) (multiplicity 1)
Cl (0.000, 0.500, 0.500) (multiplicity 2)

**Calculated total energy**: -4.317 eV per atom
**Fermi-level density of states**: 1.1573 states/eV per atom

***

(4)
Here is a relaxed Li3Cr2NiO6 crystal from the Alexandria database. Energies are from GGA-PBEsol.

a = 12.600 Å, b = 2.881 Å, c = 5.767 Å
α = 90.00°, β = 103.78°, γ = 90.00°
Space group C2/m (No. 12)
Unique sites:
Li (0.000, 0.000, 0.000) (multiplicity 2)
Li (0.163, 0.500, 0.336) (multiplicity 4)
Cr (0.165, 0.500, 0.826) (multiplicity 4)
Ni (0.000, 0.000, 0.500) (multiplicity 2)
O (0.008, 0.500, 0.741) (multiplicity 4)
O (0.169, 0.000, 0.600) (multiplicity 4)
O (0.172, 0.000, 0.064) (multiplicity 4)

**Calculated total energy**: -7.152 eV per atom
**Fermi-level density of states**: 0.6601 states/eV per atom

***

What did the third record say?
Here is a relaxed PRuPtCl2 crystal from the Alexandria database. Energies are from GGA-PBEsol.

a = 4.762 Å, b = 4.762 Å, c = 4.604 Å
α = 90.00°, β = 90.00°, γ = 90.00°
Space group P4/mmm (No. 123)
Unique sites:
P (0.000, 0.000, 0.000) (multiplicity 1)
Ru (0.500, 0.500, 0.000) (multiplicity 1)
Pt (0.000, 0.000, 0.500) (multiplicity 1)
Cl (0.000, 0.500, 0.500) (multiplicity 2)

**Calculated total energy**: -4.317 eV per atom
**Fermi-level density of states**: 1.1573 states/eV per atom

***

- Look up the Fermi-level density of states of the second one.
  0.5089 states/eV per atom

***

- Which formula does entry 3 have?
  PRuPtCl2

***

- What is the Fermi-level density of states in the fourth record?
  0.6601 states/eV per atom